First-principles (PBE with a Hubbard U) data for an optimized crystal structure of NiC3O, as listed in Alexandria.

abc: 3.674 3.674 3.674
angles: 90.00 90.00 90.00
Space group Pm-3m (No. 221)
Asymmetric unit:
Ni1 0.000 0.000 0.000
C1 0.000 0.000 0.500
O1 0.500 0.500 0.500

Output
Magnetic moment ... 0.2 μB per formula unit
Energy ... -20.2 eV for the cell shown
ρ ... 3708 kg/m3
ΔE to the lowest computed polymorph ... 0.0 meV per atom
Crystal system ... cubic